Here is a relaxed structure of ScPt3Pb from the Alexandria database. Energies are from PBE.

a b c (Å): 4.9117 4.9117 4.9117
angles (deg): 90.00 90.00 90.00
Atoms (fractional coordinates):
Pt (0.0000, 0.0000, 0.5000)
Pt (0.5000, 0.0000, 0.0000)
Pt (0.0000, 0.5000, 0.0000)
Sc (0.0000, 0.0000, 0.0000)
Pb (0.5000, 0.5000, 0.5000)

## Properties
* E_form: 0.26 eV/atom
* offset from the most stable computed form: 0.000 eV per formula unit
* SG: Pm-3m, No. 221

***

Here is a relaxed structure of Pm5Co2Bi from the Alexandria database. Energies are from PBE.

a b c (Å): 7.8728 7.8728 8.8623
angles (deg): 116.37 116.37 90.00
Atoms (fractional coordinates):
Co (0.1393, 0.3607, 0.0000)
Bi (0.2500, 0.2500, 0.5000)
Pm (0.4745, 0.2877, 0.2621)
Pm (0.5000, 0.5000, 0.0000)
Co (0.3607, 0.8607, 0.0000)
Pm (0.7877, 0.9745, 0.2621)
Pm (0.0000, 0.0000, 0.0000)
Pm (0.9745, 0.4745, 0.2621)
Bi (0.7500, 0.7500, 0.5000)
Pm (0.5255, 0.7123, 0.7379)
Pm (0.0255, 0.5255, 0.7379)
Co (0.6393, 0.1393, 0.0000)
Pm (0.7123, 0.2123, 0.7379)
Pm (0.2877, 0.7877, 0.2621)
Co (0.8607, 0.6393, 0.0000)
Pm (0.2123, 0.0255, 0.7379)

## Properties
* E_form: -0.29 eV/atom
* SG: I4/mcm, No. 140

***

Here is a relaxed structure of Y2HgBr from the Alexandria database. Energies are from PBE.

a b c (Å): 7.9443 7.9443 7.9443
angles (deg): 152.85 150.72 40.35
Atoms (fractional coordinates):
Hg (0.2980, 0.7980, 0.5000)
Y (0.7078, 0.2078, 0.5000)
Br (0.5453, 0.5453, 0.0000)
Y (0.9488, 0.9488, 0.0000)

## Properties
* offset from the most stable computed form: 0.387 eV per formula unit
* SG: Imm2, No. 44
* uncorrected formation energy: -60.6 kJ/mol of atoms